(1)
{"formula": "Ac2Y6Tm", "functional": "PBE", "state": "relaxed", "e_form_mev_per_atom": 130, "m_tot_mub_per_fu": 0.0, "cell": [[8.810, 0.000, 0.000], [0.000, 3.640, 0.000], [-2.022, 0.000, 9.939]], "species": ["Ac", "Ac", "Y", "Y", "Y", "Y", "Y", "Y", "Tm"], "frac_coords": [[0.193, 0.000, 0.459], [0.807, 0.000, 0.541], [0.127, 0.500, 0.785], [0.183, 0.000, 0.098], [0.484, 0.500, 0.323], [0.516, 0.500, 0.677], [0.817, 0.000, 0.902], [0.873, 0.500, 0.215], [0.500, 0.500, 0.000]]}

---

(2)
{"formula": "Ac2Y7Tm2", "functional": "PBE", "state": "relaxed", "e_form_mev_per_atom": 202, "m_tot_mub_per_fu": 0.0, "cell": [[4.237, -5.480, 0.000], [4.237, 5.480, 0.000], [-2.146, 0.000, 8.207]], "species": ["Ac", "Ac", "Y", "Y", "Y", "Y", "Y", "Y", "Y", "Tm", "Tm"], "frac_coords": [[0.078, 0.078, 0.314], [0.922, 0.922, 0.686], [0.012, 0.585, 0.327], [0.307, 0.307, 0.024], [0.415, 0.988, 0.673], [0.500, 0.500, 0.500], [0.585, 0.012, 0.327], [0.693, 0.693, 0.976], [0.988, 0.415, 0.673], [0.218, 0.782, 0.000], [0.782, 0.218, 0.000]]}

---

(3)
{"formula": "AcY7Tm4", "functional": "PBE", "state": "relaxed", "e_form_mev_per_atom": 14, "m_tot_mub_per_fu": 0.0, "cell": [[6.239, 0.000, 0.000], [0.012, 7.229, 0.000], [2.110, 0.005, 8.634]], "species": ["Ac", "Y", "Y", "Y", "Y", "Y", "Y", "Y", "Tm", "Tm", "Tm", "Tm"], "frac_coords": [[0.000, 0.000, 0.000], [0.000, 0.500, 0.000], [0.224, 0.000, 0.339], [0.282, 0.745, 0.662], [0.499, 0.256, 0.999], [0.501, 0.744, 0.001], [0.718, 0.255, 0.338], [0.776, 0.000, 0.661], [0.220, 0.500, 0.337], [0.278, 0.255, 0.663], [0.722, 0.745, 0.337], [0.780, 0.500, 0.663]]}

---

(4)
{"formula": "AcY2Tm", "functional": "PBE", "state": "relaxed", "e_form_mev_per_atom": 129, "m_tot_mub_per_fu": 0.0, "cell": [[0.000, 4.116, 4.116], [4.116, 0.000, 4.116], [4.116, 4.116, 0.000]], "species": ["Ac", "Y", "Y", "Tm"], "frac_coords": [[0.000, 0.000, 0.000], [0.250, 0.250, 0.250], [0.750, 0.750, 0.750], [0.500, 0.500, 0.500]]}

---

(5)
{"formula": "Ac8Y3Tm2", "functional": "PBE", "state": "relaxed", "e_form_mev_per_atom": 61, "m_tot_mub_per_fu": 0.0, "cell": [[6.626, 0.000, 0.000], [1.110, 6.553, 0.000], [2.246, -0.372, 11.818]], "species": ["Ac", "Ac", "Ac", "Ac", "Ac", "Ac", "Ac", "Ac", "Y", "Y", "Y", "Tm", "Tm"], "frac_coords": [[0.042, 0.082, 0.349], [0.196, 0.385, 0.727], [0.338, 0.693, 0.115], [0.420, 0.848, 0.809], [0.580, 0.152, 0.191], [0.662, 0.307, 0.885], [0.804, 0.615, 0.273], [0.958, 0.918, 0.651], [0.274, 0.538, 0.427], [0.500, 0.000, 0.500], [0.726, 0.462, 0.573], [0.111, 0.233, 0.037], [0.889, 0.767, 0.963]]}

---

(6)
{"formula": "AcY3Tm", "functional": "PBE", "state": "relaxed", "e_form_mev_per_atom": 169, "m_tot_mub_per_fu": 0.0, "cell": [[9.222, -2.440, 0.000], [9.222, 2.440, 0.000], [-3.285, 0.000, 7.993]], "species": ["Ac", "Ac", "Y", "Y", "Y", "Y", "Y", "Y", "Tm", "Tm"], "frac_coords": [[0.116, 0.116, 0.146], [0.884, 0.884, 0.854], [0.057, 0.057, 0.700], [0.227, 0.227, 0.629], [0.415, 0.415, 0.555], [0.585, 0.585, 0.445], [0.773, 0.773, 0.371], [0.943, 0.943, 0.300], [0.310, 0.310, 0.110], [0.690, 0.690, 0.890]]}

---

(7)
{"formula": "Ac3YTm", "functional": "PBE", "state": "relaxed", "e_form_mev_per_atom": 68, "m_tot_mub_per_fu": 0.0, "cell": [[8.430, 0.000, 0.000], [0.000, 5.451, 0.000], [-0.127, 0.000, 8.524]], "species": ["Ac", "Ac", "Ac", "Ac", "Ac", "Ac", "Y", "Y", "Tm", "Tm"], "frac_coords": [[0.155, 0.250, 0.046], [0.249, 0.750, 0.748], [0.341, 0.250, 0.452], [0.659, 0.750, 0.548], [0.751, 0.250, 0.252], [0.845, 0.750, 0.954], [0.445, 0.750, 0.150], [0.555, 0.250, 0.850], [0.053, 0.750, 0.351], [0.947, 0.250, 0.649]]}

---

(8)
{"formula": "AcY12Tm2", "functional": "PBE", "state": "relaxed", "e_form_mev_per_atom": 118, "m_tot_mub_per_fu": 0.0, "cell": [[3.600, -5.599, 0.000], [3.600, 5.599, 0.000], [-1.807, 0.000, 24.715]], "species": ["Ac", "Ac", "Y", "Y", "Y", "Y", "Y", "Y", "Y", "Y", "Y", "Y", "Y", "Y", "Y", "Y", "Y", "Y", "Y", "Y", "Y", "Y", "Y", "Y", "Y", "Y", "Tm", "Tm", "Tm", "Tm"], "frac_coords": [[0.249, 0.249, 0.496], [0.751, 0.751, 0.504], [0.058, 0.542, 0.704], [0.060, 0.602, 0.831], [0.128, 0.655, 0.055], [0.174, 0.174, 0.061], [0.214, 0.214, 0.353], [0.232, 0.731, 0.422], [0.269, 0.768, 0.578], [0.283, 0.283, 0.637], [0.345, 0.872, 0.945], [0.346, 0.346, 0.905], [0.398, 0.940, 0.169], [0.458, 0.942, 0.296], [0.542, 0.058, 0.704], [0.602, 0.060, 0.831], [0.654, 0.654, 0.095], [0.655, 0.128, 0.055], [0.717, 0.717, 0.363], [0.731, 0.232, 0.422], [0.768, 0.269, 0.578], [0.786, 0.786, 0.647], [0.826, 0.826, 0.939], [0.872, 0.345, 0.945], [0.940, 0.398, 0.169], [0.942, 0.458, 0.296], [0.079, 0.079, 0.770], [0.446, 0.446, 0.230], [0.554, 0.554, 0.770], [0.921, 0.921, 0.230]]}